## BeGe2Br (meta-GGA SCAN)

Data for a crystal of BeGe2Br relaxed with PBEsol.

Cell and atoms, written as POSCAR:
```
BeGe2Br
1.0
0.000 3.312 3.312
3.312 0.000 3.312
3.312 3.312 0.000
Be Ge Br
1 2 1
Direct
0.000 0.000 0.000
0.250 0.250 0.250
0.750 0.750 0.750
0.500 0.500 0.500
```

Values from the calculation:
Space group: Fm-3m, No. 225
Formation energy from raw total energies: 0.90 eV/atom
Uncorrected energy: -14.595 eV/atom